Here is a relaxed AcTbPrTm crystal from the Alexandria database. Energies are from GGA-PBE.

Values from the calculation:
ΔE_f: 0.053 eV/atom

Cell and atoms, written as POSCAR:
```
AcTbPrTm
1.0
3.719 0.000 0.000
-1.859 3.221 0.000
0.000 0.000 11.893
Ac Tb Pr Tm
1 1 1 1
Direct
0.000 0.000 0.432 Ac
0.333 0.667 0.919 Tb
0.667 0.333 0.162 Pr
0.667 0.333 0.687 Tm
```

***

Here is a relaxed PuTh2Pd9 crystal from the Alexandria database. Energies are from GGA-PBE.

Values from the calculation:
ΔE_f: -0.830 eV/atom

Cell and atoms, written as POSCAR:
```
PuTh2Pd9
1.0
-2.947 1.031 -2.814
-2.949 -1.698 2.466
-1.594 11.099 5.738
Pu Th Pd
1 2 9
Direct
0.000 0.000 0.000 Pu
0.000 0.000 0.330 Th
0.000 0.000 0.670 Th
0.500 0.500 0.000 Pd
0.500 0.500 0.335 Pd
0.500 0.500 0.665 Pd
0.500 0.000 0.168 Pd
0.500 0.000 0.500 Pd
0.500 0.000 0.832 Pd
0.000 0.500 0.168 Pd
0.000 0.500 0.500 Pd
0.000 0.500 0.832 Pd
```

***

Here is a relaxed KGa3Bi crystal from the Alexandria database. Energies are from GGA-PBE.

Values from the calculation:
ΔE_f: 0.910 eV/atom

Cell and atoms, written as POSCAR:
```
KGa3Bi
1.0
5.624 0.000 0.000
0.000 5.624 0.000
0.000 0.000 5.624
K Bi Ga
1 1 3
Direct
0.000 0.000 0.000 K
0.500 0.500 0.500 Bi
0.000 0.500 0.000 Ga
0.000 0.000 0.500 Ga
0.500 0.000 0.000 Ga
```